Arrangement a

A plane-wave DFT calculation with GGA-PBEsol was carried out for a relaxed Ca2ScRu crystal.

## Properties
As for the density of states at the Fermi level: 2.699 states/eV/cell. The symmetry is No. 139.

POSCAR file:
```
Ca2ScRu
1.0
-2.108 2.108 4.991
2.108 -2.108 4.991
2.108 2.108 -4.991
Ca Sc Ru
2 1 1
direct
0.250 0.750 0.500
0.750 0.250 0.500
0.000 0.000 0.000
0.500 0.500 0.000
```

***

Arrangement b

A plane-wave DFT calculation with GGA-PBEsol was carried out for a relaxed Ca2ScRu crystal.

## Properties
As for the density of states at the Fermi level: 3.286 states/eV/cell. The symmetry is No. 71.

POSCAR file:
```
Ca2ScRu
1.0
-1.627 2.083 8.115
1.627 -2.083 8.115
1.627 2.083 -8.115
Ca Sc Ru
2 1 1
direct
0.156 0.156 0.000
0.844 0.844 0.000
0.500 0.000 0.500
0.000 0.500 0.500
```

***

Energetically preferred structure: arrangement b | next structure: +28.9 kJ/mol of atoms

***

Arrangement a

A plane-wave DFT calculation with GGA-PBEsol was carried out for a relaxed Sr2CaRu crystal.

## Properties
As for the density of states at the Fermi level: 3.336 states/eV/cell. The symmetry is No. 44.

POSCAR file:
```
Sr2CaRu
1.0
-1.812 2.828 6.392
1.812 -2.828 6.392
1.812 2.828 -6.392
Sr Ca Ru
2 1 1
direct
0.000 0.000 0.000
0.678 0.178 0.500
0.331 0.831 0.500
0.497 0.497 0.000
```

***

Arrangement b

A plane-wave DFT calculation with GGA-PBEsol was carried out for a relaxed Sr2CaRu crystal.

## Properties
As for the density of states at the Fermi level: 1.649 states/eV/cell. The symmetry is No. 123.

POSCAR file:
```
Sr2CaRu
1.0
4.864 0.000 0.000
0.000 4.864 0.000
0.000 0.000 4.797
Sr Ca Ru
2 1 1
direct
0.000 0.500 0.000
0.500 0.000 0.000
0.000 0.000 0.500
0.500 0.500 0.500
```

***

Energetically preferred structure: arrangement a | next structure: +19.8 kJ/mol of atoms

***

Arrangement a

A plane-wave DFT calculation with GGA-PBEsol was carried out for a relaxed Sr2CaRu crystal.

## Properties
As for the density of states at the Fermi level: 3.580 states/eV/cell. The symmetry is No. 71.

POSCAR file:
```
Sr2CaRu
1.0
-1.756 2.472 7.905
1.756 -2.472 7.905
1.756 2.472 -7.905
Sr Ca Ru
2 1 1
direct
0.153 0.153 0.000
0.847 0.847 0.000
0.500 0.000 0.500
0.000 0.500 0.500
```

***

Arrangement b

A plane-wave DFT calculation with GGA-PBEsol was carried out for a relaxed Sr2CaRu crystal.

## Properties
As for the density of states at the Fermi level: 1.483 states/eV/cell. The symmetry is No. 216.

POSCAR file:
```
Sr2CaRu
1.0
0.000 3.814 3.814
3.814 0.000 3.814
3.814 3.814 0.000
Sr Ca Ru
2 1 1
direct
0.000 0.000 0.000
0.250 0.250 0.250
0.750 0.750 0.750
0.500 0.500 0.500
```

***

Arrangement c

A plane-wave DFT calculation with GGA-PBEsol was carried out for a relaxed Sr2CaRu crystal.

## Properties
As for the density of states at the Fermi level: 3.605 states/eV/cell. The symmetry is No. 166.

POSCAR file:
```
Sr2CaRu
1.0
1.877 1.084 11.021
-1.877 1.084 11.021
0.000 -2.168 11.021
Sr Ca Ru
2 1 1
direct
0.227 0.227 0.227
0.773 0.773 0.773
0.000 0.000 0.000
0.500 0.500 0.500
```

***

Energetically preferred structure: arrangement a | next structure: +14.2 kJ/mol of atoms

***

Arrangement a

A plane-wave DFT calculation with GGA-PBEsol was carried out for a relaxed SrCa2Ru crystal.

## Properties
As for the density of states at the Fermi level: 4.931 states/eV/cell. The symmetry is No. 123.

POSCAR file:
```
SrCa2Ru
1.0
3.540 0.000 0.000
0.000 3.540 0.000
0.000 0.000 9.561
Sr Ca Ru
1 2 1
direct
0.000 0.000 0.000
0.500 0.500 0.336
0.500 0.500 0.664
0.000 0.000 0.500
```

***

Arrangement b

A plane-wave DFT calculation with GGA-PBEsol was carried out for a relaxed SrCa2Ru crystal.

## Properties
As for the density of states at the Fermi level: 3.995 states/eV/cell. The symmetry is No. 166.

POSCAR file:
```
SrCa2Ru
1.0
1.829 1.056 10.777
-1.829 1.056 10.777
0.000 -2.112 10.777
Sr Ca Ru
1 2 1
direct
0.000 0.000 0.000
0.224 0.224 0.224
0.776 0.776 0.776
0.500 0.500 0.500
```

***

Energetically preferred structure: arrangement a | next structure: +13.5 kJ/mol of atoms

***

Arrangement a

A plane-wave DFT calculation with GGA-PBEsol was carried out for a relaxed CaTaRu crystal.

## Properties
As for the density of states at the Fermi level: 3.009 states/eV/cell. The symmetry is No. 216.

POSCAR file:
```
CaTaRu
1.0
0.000 3.123 3.123
3.123 0.000 3.123
3.123 3.123 0.000
Ca Ta Ru
1 1 1
direct
0.000 0.000 0.000
0.250 0.250 0.250
0.500 0.500 0.500
```

***

Arrangement b

A plane-wave DFT calculation with GGA-PBEsol was carried out for a relaxed CaTaRu crystal.

## Properties
As for the density of states at the Fermi level: 3.624 states/eV/cell. The symmetry is No. 107.

POSCAR file:
```
CaTaRu
1.0
-1.615 1.615 5.731
1.615 -1.615 5.731
1.615 1.615 -5.731
Ca Ta Ru
1 1 1
direct
0.000 0.000 0.000
0.712 0.712 0.000
0.316 0.316 0.000
```

***

Energetically preferred structure: arrangement b | next structure: +74.1 kJ/mol of atoms

***

Arrangement a

A plane-wave DFT calculation with GGA-PBEsol was carried out for a relaxed CaTa2Ru crystal.

## Properties
As for the density of states at the Fermi level: 3.651 states/eV/cell. The symmetry is No. 44.

POSCAR file:
```
CaTa2Ru
1.0
-1.566 2.444 4.739
1.566 -2.444 4.739
1.566 2.444 -4.739
Ca Ta Ru
1 2 1
direct
0.000 0.000 0.000
0.279 0.779 0.500
0.542 0.542 0.000
0.752 0.252 0.500
```

***

Arrangement b

A plane-wave DFT calculation with GGA-PBEsol was carried out for a relaxed CaTa2Ru crystal.

## Properties
As for the density of states at the Fermi level: 4.222 states/eV/cell. The symmetry is No. 166.

POSCAR file:
```
CaTa2Ru
1.0
1.480 0.854 9.821
-1.480 0.854 9.821
0.000 -1.709 9.821
Ca Ta Ru
1 2 1
direct
0.000 0.000 0.000
0.238 0.238 0.238
0.762 0.762 0.762
0.500 0.500 0.500
```

***

Energetically preferred structure: arrangement a | next structure: +4.9 kJ/mol of atoms

***

Arrangement a

A plane-wave DFT calculation with GGA-PBEsol was carried out for a relaxed Ca2YRu crystal.

## Properties
As for the density of states at the Fermi level: 6.436 states/eV/cell. The symmetry is No. 65.

POSCAR file:
```
Ca2YRu
1.0
2.370 -2.383 0.000
2.370 2.383 0.000
0.000 0.000 9.350
Ca Y Ru
2 1 1
direct
0.000 0.000 0.178
0.000 0.000 0.822
0.500 0.500 0.500
0.500 0.500 0.000
```

***

Arrangement b

A plane-wave DFT calculation with GGA-PBEsol was carried out for a relaxed Ca2YRu crystal.

## Properties
As for the density of states at the Fermi level: 3.662 states/eV/cell. The symmetry is No. 99.

POSCAR file:
```
Ca2YRu
1.0
3.453 0.000 0.000
0.000 3.453 0.000
0.000 0.000 9.260
Ca Y Ru
2 1 1
direct
0.000 0.000 0.000
0.500 0.500 0.338
0.000 0.000 0.653
0.500 0.500 0.806
```

***

Energetically preferred structure: arrangement b | next structure: +34.2 kJ/mol of atoms

***

Arrangement a

A plane-wave DFT calculation with GGA-PBEsol was carried out for a relaxed CaY3Ru crystal.

## Properties
As for the density of states at the Fermi level: 2.461 states/eV/cell. The symmetry is No. 221.

POSCAR file:
```
CaY3Ru
1.0
5.367 0.000 0.000
0.000 5.367 0.000
0.000 0.000 5.367
Ca Y Ru
1 3 1
direct
0.000 0.000 0.000
0.000 0.500 0.500
0.500 0.000 0.500
0.500 0.500 0.000
0.500 0.500 0.500
```

***

Arrangement b

A plane-wave DFT calculation with GGA-PBEsol was carried out for a relaxed CaY3Ru crystal.

## Properties
As for the density of states at the Fermi level: 11.159 states/eV/cell. The symmetry is No. 11.

POSCAR file:
```
CaY3Ru
1.0
8.790 0.000 0.000
0.000 3.711 0.000
-2.155 0.000 8.663
Ca Y Ru
2 6 2
direct
0.022 0.250 0.184
0.978 0.750 0.816
0.196 0.250 0.581
0.338 0.250 0.976
0.400 0.750 0.335
0.600 0.250 0.665
0.662 0.750 0.024
0.804 0.750 0.419
0.404 0.750 0.756
0.596 0.250 0.244
```

***

Energetically preferred structure: arrangement b | next structure: +4.2 kJ/mol of atoms

***

Arrangement a

A plane-wave DFT calculation with GGA-PBEsol was carried out for a relaxed CaY2Ru crystal.

## Properties
As for the density of states at the Fermi level: 3.181 states/eV/cell. The symmetry is No. 99.

POSCAR file:
```
CaY2Ru
1.0
3.387 0.000 0.000
0.000 3.387 0.000
0.000 0.000 9.018
Ca Y Ru
1 2 1
direct
0.000 0.000 0.000
0.000 0.000 0.364
0.500 0.500 0.668
0.500 0.500 0.203
```

***

Arrangement b

A plane-wave DFT calculation with GGA-PBEsol was carried out for a relaxed CaY2Ru crystal.

## Properties
As for the density of states at the Fermi level: 2.733 states/eV/cell. The symmetry is No. 123.

POSCAR file:
```
CaY2Ru
1.0
3.394 0.000 0.000
0.000 3.394 0.000
0.000 0.000 9.415
Ca Y Ru
1 2 1
direct
0.000 0.000 0.000
0.500 0.500 0.328
0.500 0.500 0.672
0.000 0.000 0.500
```

***

Energetically preferred structure: arrangement b | next structure: +20.2 kJ/mol of atoms

***

Arrangement a

A plane-wave DFT calculation with GGA-PBEsol was carried out for a relaxed CaZr2Ru crystal.

## Properties
As for the density of states at the Fermi level: 5.353 states/eV/cell. The symmetry is No. 123.

POSCAR file:
```
CaZr2Ru
1.0
3.132 0.000 0.000
0.000 3.132 0.000
0.000 0.000 9.299
Ca Zr Ru
1 2 1
direct
0.000 0.000 0.000
0.500 0.500 0.322
0.500 0.500 0.678
0.000 0.000 0.500
```

***

Arrangement b

A plane-wave DFT calculation with GGA-PBEsol was carried out for a relaxed CaZr2Ru crystal.

## Properties
As for the density of states at the Fermi level: 2.967 states/eV/cell. The symmetry is No. 99.

POSCAR file:
```
CaZr2Ru
1.0
3.279 0.000 0.000
0.000 3.279 0.000
0.000 0.000 8.062
Ca Zr Ru
1 2 1
direct
0.000 0.000 0.000
0.000 0.000 0.410
0.500 0.500 0.659
0.500 0.500 0.241
```

***

Energetically preferred structure: arrangement b | next structure: +2.8 kJ/mol of atoms

***

Arrangement a

A plane-wave DFT calculation with GGA-PBEsol was carried out for a relaxed CaSnS3 crystal.

## Properties
The symmetry is No. 63.

POSCAR file:
```
CaSnS3
1.0
1.863 -6.076 0.000
1.863 6.076 0.000
0.000 0.000 9.308
Ca Sn S
2 2 6
direct
0.247 0.753 0.750
0.753 0.247 0.250
0.500 0.500 0.000
0.500 0.500 0.500
0.144 0.856 0.046
0.144 0.856 0.454
0.420 0.580 0.250
0.580 0.420 0.750
0.856 0.144 0.546
0.856 0.144 0.954
```

***

Arrangement b

A plane-wave DFT calculation with GGA-PBEsol was carried out for a relaxed CaSnS3 crystal.

## Properties
The symmetry is No. 2.

POSCAR file:
```
CaSnS3
1.0
8.374 0.000 0.000
1.587 8.493 0.000
1.086 3.923 10.728
Ca Sn S
6 6 18
direct
0.036 0.473 0.327
0.198 0.263 0.016
0.427 0.722 0.366
0.573 0.278 0.634
0.802 0.737 0.984
0.964 0.527 0.673
0.053 0.020 0.672
0.271 0.803 0.997
0.418 0.672 0.707
0.582 0.328 0.293
0.729 0.197 0.003
0.947 0.980 0.328
0.088 0.707 0.435
0.112 0.189 0.269
0.116 0.581 0.069
0.128 0.064 0.856
0.289 0.431 0.757
0.308 0.948 0.566
0.353 0.924 0.129
0.363 0.392 0.427
0.489 0.292 0.113
0.511 0.708 0.887
0.637 0.608 0.573
0.647 0.076 0.871
0.692 0.052 0.434
0.711 0.569 0.243
0.872 0.936 0.144
0.884 0.419 0.931
0.888 0.811 0.731
0.912 0.293 0.565
```

***

Arrangement c

A plane-wave DFT calculation with GGA-PBEsol was carried out for a relaxed CaSnS3 crystal.

## Properties
As for the density of states at the Fermi level: 6.056 states/eV/cell. The symmetry is No. 221.

POSCAR file:
```
CaSnS3
1.0
5.089 0.000 0.000
0.000 5.089 0.000
0.000 0.000 5.089
Ca Sn S
1 1 3
direct
0.000 0.000 0.000
0.500 0.500 0.500
0.000 0.000 0.500
0.000 0.500 0.000
0.500 0.000 0.000
```

***

Energetically preferred structure: arrangement a | next structure: +4.5 kJ/mol of atoms